The following is a DFT calculation (PBE+U) of an optimized crystal structure of CePbWO6.

Unit cell a=5.7183 b=5.7183 c=10.2809 alpha=90.00 beta=90.00 gamma=120.00
Last column: nearest neighbours and their distance in Å.
Space group P-31c (No. 163)
One atom of each set of equivalent atoms:
Ce: 0.3333 0.6667 0.2500 [2 per cell]  6 O 2.26
Pb: 0.0000 0.0000 0.0000 [2 per cell]  6 O 2.60
W: 0.3333 0.6667 0.7500 [2 per cell]  6 O 1.96
O: 0.0383 0.3915 0.6445 [12 per cell]  1 W 1.96

Values from the calculation:
The crystal system is trigonal. The calculation puts the total energy at -7.46 eV per atom.